Below is a relaxed RuW3 crystal, with properties calculated at the PBE level.

a b c (Å): 2.7508 5.2115 5.2115
angles (deg): 63.03 79.87 100.13
Closest atoms and distances in Å follow each position.
Sites, in units of the cell vectors:
Ru1 0.0000 0.0000 0.0000  6 W 2.72, 2 Ru 2.75
W1 0.5000 0.5000 0.0000  6 W 2.72-2.75, 2 Ru 2.72
W2 0.0000 0.5000 0.5000  2 Ru 2.72, 6 W 2.72-2.75
W3 0.5000 0.0000 0.5000  6 W 2.72-2.75, 2 Ru 2.72

Values from the calculation:
DFT total energy ... -11.9035 eV per atom
E_form ... 0.130 eV/atom

---

Below is a relaxed Nd6SmMg crystal, with properties calculated at the PBE level.

a b c (Å): 9.7608 8.6492 6.5214
angles (deg): 48.43 41.53 55.67
Closest atoms and distances in Å follow each position.
Sites, in units of the cell vectors:
Nd1 0.0563 0.4655 0.7152  1 Mg 3.32, 6 Nd 3.33-3.65, 1 Sm 3.55
Nd2 0.7630 0.9439 0.7583  1 Mg 3.32, 6 Nd 3.33-3.65, 1 Sm 3.55
Nd3 0.5345 0.2368 0.1724  1 Mg 3.32, 6 Nd 3.33-3.65, 1 Sm 3.55
Nd4 0.2370 0.0561 0.2417  1 Mg 3.32, 6 Nd 3.33-3.65, 1 Sm 3.55
Nd5 0.9437 0.5345 0.2848  1 Mg 3.32, 6 Nd 3.33-3.65, 1 Sm 3.55
Nd6 0.4655 0.7632 0.8276  1 Mg 3.32, 6 Nd 3.33-3.65, 1 Sm 3.55
Sm1 0.5000 0.5000 0.5000  12 Nd 3.55-3.79
Mg1 0.0000 0.0000 0.0000  6 Nd 3.32

Values from the calculation:
DFT total energy ... -4.2733 eV per atom
E_form ... 0.092 eV/atom
ΔE to the lowest computed polymorph ... 22 meV/atom

---

Below is a relaxed TcAsSe2Cl crystal, with properties calculated at the PBE level.

a b c (Å): 4.8052 4.8052 4.9973
angles (deg): 90.00 90.00 90.00
Closest atoms and distances in Å follow each position.
Sites, in units of the cell vectors:
As1 0.0000 0.0000 0.5000  2 Tc 2.50
Tc1 0.0000 0.0000 0.0000  4 Se 2.40, 2 As 2.50
Se1 0.0000 0.5000 0.0000  2 Tc 2.40
Se2 0.5000 0.0000 0.0000  2 Tc 2.40
Cl1 0.5000 0.5000 0.5000  4 As 3.40, 8 Se 3.47

Values from the calculation:
DFT total energy ... -4.4771 eV per atom
Formation energy (no corrections) ... 28 kJ per mole of atoms
ΔE to the lowest computed polymorph ... 0 meV/atom

---

Below is a relaxed Ac4Al2In5 crystal, with properties calculated at the PBE level.

a b c (Å): 4.0574 8.2346 10.3676
angles (deg): 94.61 90.00 90.00
Closest atoms and distances in Å follow each position.
Sites, in units of the cell vectors:
Ac1 0.5000 0.7353 0.5643  4 Al 3.37-3.39, 6 In 3.51-3.59
Ac2 0.5000 0.1799 0.8775  2 Al 3.38, 8 In 3.48-3.58
Ac3 0.5000 0.2647 0.4357  4 Al 3.37-3.39, 6 In 3.51-3.59
Ac4 0.5000 0.8201 0.1225  2 Al 3.38, 8 In 3.48-3.58
Al1 0.0000 0.0582 0.6269  1 Al 2.73, 1 In 3.05
Al2 0.0000 0.9418 0.3731  1 Al 2.73, 1 In 3.05
In1 0.0000 0.5640 0.3016  2 In 3.13-3.37, 1 Al 3.14
In2 0.0000 0.1795 0.1619  1 Al 3.05, 2 In 3.24-3.37
In3 0.0000 0.5000 0.0000  4 In 3.13-3.24, 4 Ac 3.48
In4 0.0000 0.8205 0.8381  1 Al 3.05, 2 In 3.24-3.37
In5 0.0000 0.4360 0.6984  2 In 3.13-3.37, 1 Al 3.14

Values from the calculation:
DFT total energy ... -3.7488 eV per atom
E_form ... -0.330 eV/atom

---

Below is a relaxed CdFeAsBr2 crystal, with properties calculated at the PBE level.

a b c (Å): 5.1022 5.1022 4.5011
angles (deg): 90.00 90.00 90.00
Closest atoms and distances in Å follow each position.
Sites, in units of the cell vectors:
As1 0.0000 0.0000 0.5000  2 Fe 2.25
Fe1 0.0000 0.0000 0.0000  2 As 2.25
Br1 0.0000 0.5000 0.0000  2 Fe 2.55
Br2 0.5000 0.0000 0.0000  2 Fe 2.55
Cd1 0.5000 0.5000 0.5000  8 Br 3.40, 4 As 3.61

Values from the calculation:
DFT total energy ... -3.2938 eV per atom
Formation energy (no corrections) ... 17 kJ per mole of atoms
ΔE to the lowest computed polymorph ... 0 meV/atom

---

Below is a relaxed Ac6ZnCd2 crystal, with properties calculated at the PBE level.

a b c (Å): 5.5511 7.8926 9.6116
angles (deg): 114.24 106.72 90.00
Closest atoms and distances in Å follow each position.
Sites, in units of the cell vectors:
Ac1 0.1630 0.4080 0.3265  1 Zn 3.33, 3 Cd 3.43-3.44
Ac2 0.8370 0.0815 0.6735  1 Zn 3.33, 3 Cd 3.43-3.44
Ac3 0.8370 0.5920 0.6735  1 Zn 3.33, 3 Cd 3.43-3.44
Ac4 0.5000 0.2382 0.0000  2 Zn 3.35, 2 Cd 3.45
Ac5 0.1630 0.9185 0.3265  1 Zn 3.33, 3 Cd 3.43-3.44
Ac6 0.5000 0.7618 0.0000  2 Zn 3.35, 2 Cd 3.45
Zn1 0.0000 0.0000 0.0000  8 Ac 3.33-3.35
Cd1 0.6656 0.6659 0.3318  8 Ac 3.43-3.45
Cd2 0.3344 0.3341 0.6682  8 Ac 3.43-3.45

Values from the calculation:
DFT total energy ... -3.0539 eV per atom
E_form ... 0.030 eV/atom

---

Below is a relaxed H2PdF crystal, with properties calculated at the PBE level.

a b c (Å): 2.7392 2.7390 7.5333
angles (deg): 83.30 80.06 62.23
Closest atoms and distances in Å follow each position.
Sites, in units of the cell vectors:
H1 0.7911 0.7702 0.2258  3 Pd 1.79-1.81
H2 0.1649 0.2853 0.6380  1 F 0.96
Pd1 0.4916 0.4396 0.1164  3 H 1.79-1.81
F1 0.9585 0.0820 0.6420  1 H 0.96

Values from the calculation:
DFT total energy ... -4.1061 eV per atom
ΔE to the lowest computed polymorph ... 0 meV/atom

---

Below is a relaxed CrNi2H2 crystal, with properties calculated at the PBE level.

a b c (Å): 5.6940 5.6940 2.5840
angles (deg): 90.00 90.00 90.00
Closest atoms and distances in Å follow each position.
Sites, in units of the cell vectors:
Ni1 0.1528 0.6528 0.5000  2 H 1.65
Ni2 0.6528 0.8472 0.5000  2 H 1.65
Ni3 0.8472 0.3472 0.5000  2 H 1.65
Ni4 0.3472 0.1528 0.5000  2 H 1.65
H1 0.2806 0.7806 0.0000  2 Ni 1.65
H2 0.7806 0.7194 0.0000  2 Ni 1.65
H3 0.7194 0.2194 0.0000  2 Ni 1.65
H4 0.2194 0.2806 0.0000  2 Ni 1.65
Cr1 0.0000 0.0000 0.0000  4 H 2.03
Cr2 0.5000 0.5000 0.0000  4 H 2.03

Values from the calculation:
DFT total energy ... -5.3375 eV per atom
ΔE to the lowest computed polymorph ... 247 meV/atom

---

What did the eighth record say?
Below is a relaxed CrNi2H2 crystal, with properties calculated at the PBE level.

a b c (Å): 5.6940 5.6940 2.5840
angles (deg): 90.00 90.00 90.00
Closest atoms and distances in Å follow each position.
Sites, in units of the cell vectors:
Ni1 0.1528 0.6528 0.5000  2 H 1.65
Ni2 0.6528 0.8472 0.5000  2 H 1.65
Ni3 0.8472 0.3472 0.5000  2 H 1.65
Ni4 0.3472 0.1528 0.5000  2 H 1.65
H1 0.2806 0.7806 0.0000  2 Ni 1.65
H2 0.7806 0.7194 0.0000  2 Ni 1.65
H3 0.7194 0.2194 0.0000  2 Ni 1.65
H4 0.2194 0.2806 0.0000  2 Ni 1.65
Cr1 0.0000 0.0000 0.0000  4 H 2.03
Cr2 0.5000 0.5000 0.0000  4 H 2.03

Values from the calculation:
DFT total energy ... -5.3375 eV per atom
ΔE to the lowest computed polymorph ... 247 meV/atom